Here is an optimized crystal structure of Cs2TlCdSb2 from Alexandria via LeMat-Bulk. Energies are from PBE.

Geometry as extended XYZ:
```
12
Lattice="-3.737 8.756 3.714 3.737 -8.756 3.714 3.737 8.756 -3.714" Properties=species:S:1:pos:R:3 pbc="T T T"
Cs 1.813 2.947 0.000
Cs 1.813 -2.947 3.714
Cs 1.924 11.703 0.000
Cs 1.924 5.809 3.714
Tl 0.000 0.000 1.857
Tl 0.000 0.000 5.572
Cd 3.737 0.000 1.857
Cd 0.000 8.756 1.857
Sb 5.463 1.643 0.000
Sb 1.726 7.113 0.000
Sb 2.011 1.643 3.714
Sb -1.726 7.113 3.714
```

Total magnetization   0.00 μB per formula unit
Formation energy from raw total energies   -0.37 eV/atom



Here is an optimized crystal structure of Tb2NdTl2Hg2 from Alexandria via LeMat-Bulk. Energies are from PBE.

Geometry as extended XYZ:
```
7
Lattice="2.510 1.449 8.978 -2.510 1.449 8.978 0.000 -2.898 8.978" Properties=species:S:1:pos:R:3 pbc="T T T"
Tb 0.000 0.000 3.591
Tb 0.000 0.000 23.343
Nd 0.000 0.000 0.000
Tl 0.000 0.000 7.290
Tl 0.000 0.000 19.645
Hg 0.000 0.000 11.746
Hg 0.000 0.000 15.188
```

Total magnetization   0.00 μB per formula unit
Energy relative to the elements   -0.225 eV/atom



Here is an optimized crystal structure of LiNi2Rh from Alexandria via LeMat-Bulk. Energies are from PBE.

Geometry as extended XYZ:
```
4
Lattice="2.540 -3.658 0.000 2.540 3.658 0.000 0.000 0.000 2.583" Properties=species:S:1:pos:R:3 pbc="T T T"
Li 0.000 0.000 0.000
Ni 1.270 1.829 1.292
Ni 1.270 -1.829 1.292
Rh 2.540 0.000 0.000
```

Total magnetization   1.08 μB per formula unit
Energy relative to the elements   -0.072 eV/atom



Here is an optimized crystal structure of PrDy2Ni from Alexandria via LeMat-Bulk. Energies are from PBE.

Geometry as extended XYZ:
```
4
Lattice="3.457 0.000 0.000 0.000 3.457 0.000 0.000 0.000 8.885" Properties=species:S:1:pos:R:3 pbc="T T T"
Pr 0.000 0.000 0.000
Dy 1.728 1.728 2.841
Dy 1.728 1.728 6.044
Ni 0.000 0.000 4.443
```

Total magnetization   0.00 μB per formula unit
Energy relative to the elements   -0.179 eV/atom



Here is an optimized crystal structure of Si2AsCl from Alexandria via LeMat-Bulk. Energies are from PBE.

Geometry as extended XYZ:
```
4
Lattice="4.291 0.000 0.000 0.000 3.720 0.000 -1.959 0.000 6.463" Properties=species:S:1:pos:R:3 pbc="T T T"
Si 0.000 0.000 0.000
Si 1.506 1.860 0.317
As 1.242 1.860 5.121
Cl 3.301 0.000 1.917
```

Total magnetization   0.00 μB per formula unit
Formation energy from raw total energies   -0.03 eV/atom



Here is an optimized crystal structure of Pm2InSi2Rh5 from Alexandria via LeMat-Bulk. Energies are from PBE.

Geometry as extended XYZ:
```
20
Lattice="9.968 0.000 0.000 0.000 9.968 0.000 0.000 0.000 3.529" Properties=species:S:1:pos:R:3 pbc="T T T"
Pm 1.760 3.224 0.000
Pm 3.224 8.208 0.000
Pm 6.744 1.760 0.000
Pm 8.208 6.744 0.000
In 0.000 0.000 0.000
In 4.984 4.984 0.000
Si 1.206 6.190 0.000
Si 3.779 1.206 0.000
Si 6.190 8.763 0.000
Si 8.763 3.779 0.000
Rh 0.000 4.984 1.764
Rh 0.684 7.772 1.764
Rh 2.196 0.684 1.764
Rh 2.788 5.669 1.764
Rh 4.300 2.788 1.764
Rh 4.984 0.000 1.764
Rh 5.669 7.180 1.764
Rh 7.180 4.300 1.764
Rh 7.772 9.284 1.764
Rh 9.284 2.196 1.764
```

Total magnetization   0.00 μB per formula unit
Formation energy from raw total energies   -0.89 eV/atom



Here is an optimized crystal structure of VCoSn3 from Alexandria via LeMat-Bulk. Energies are from PBE.

Geometry as extended XYZ:
```
5
Lattice="5.106 0.000 0.000 0.000 5.106 0.000 0.000 0.000 5.106" Properties=species:S:1:pos:R:3 pbc="T T T"
V 0.000 0.000 0.000
Co 2.553 2.553 2.553
Sn 0.000 0.000 2.553
Sn 0.000 2.553 0.000
Sn 2.553 0.000 0.000
```

Total magnetization   3.73 μB per formula unit
Energy relative to the elements   0.825 eV/atom



Here is an optimized crystal structure of PrCo4Sb12 from Alexandria via LeMat-Bulk. Energies are from PBE.

Geometry as extended XYZ:
```
17
Lattice="-4.608 4.608 4.608 4.608 -4.608 4.608 4.608 4.608 -4.608" Properties=species:S:1:pos:R:3 pbc="T T T"
Pr 0.000 0.000 0.000
Co 2.304 2.304 -2.304
Co 2.304 -2.304 2.304
Co -2.304 2.304 2.304
Co 2.304 2.304 2.304
Sb 3.075 1.484 0.000
Sb 6.141 1.484 0.000
Sb 4.608 -1.533 3.124
Sb 3.124 4.608 -1.533
Sb 1.484 0.000 3.075
Sb 0.000 3.075 1.484
Sb 4.608 1.533 3.124
Sb 3.124 4.608 1.533
Sb 1.484 0.000 6.141
Sb 0.000 6.141 1.484
Sb -1.533 3.124 4.608
Sb 1.533 3.124 4.608
```

Total magnetization   0.01 μB per formula unit
Formation energy from raw total energies   -0.24 eV/atom



Here is an optimized crystal structure of ZrCo2Hg from Alexandria via LeMat-Bulk. Energies are from PBE.

Geometry as extended XYZ:
```
4
Lattice="1.564 0.903 8.013 -1.564 0.903 8.013 0.000 -1.807 8.013" Properties=species:S:1:pos:R:3 pbc="T T T"
Zr 0.000 0.000 0.000
Co 0.000 0.000 6.110
Co 0.000 0.000 17.929
Hg 0.000 0.000 12.019
```

Total magnetization   1.54 μB per formula unit
Energy relative to the elements   0.292 eV/atom



Here is an optimized crystal structure of Ca2MnCl from Alexandria via LeMat-Bulk. Energies are from PBE.

Geometry as extended XYZ:
```
4
Lattice="2.466 -2.478 0.000 2.466 2.478 0.000 0.000 0.000 8.176" Properties=species:S:1:pos:R:3 pbc="T T T"
Ca 0.000 0.000 1.955
Ca 0.000 0.000 6.221
Mn 2.466 0.000 0.000
Cl 2.466 0.000 4.088
```

Total magnetization   3.17 μB per formula unit
Formation energy from raw total energies   -0.46 eV/atom



Here is an optimized crystal structure of Ti3CdN from Alexandria via LeMat-Bulk. Energies are from PBE.

Geometry as extended XYZ:
```
5
Lattice="3.089 0.000 0.000 0.000 4.073 0.000 0.000 0.000 6.034" Properties=species:S:1:pos:R:3 pbc="T T T"
Ti 0.000 0.000 0.000
Ti 1.545 2.036 1.392
Ti 1.545 2.036 4.642
Cd 0.000 0.000 3.017
N 0.000 2.036 0.000
```

Total magnetization   0.00 μB per formula unit
Formation energy from raw total energies   -0.79 eV/atom



Here is an optimized crystal structure of NaLiSn2Te4 from Alexandria via LeMat-Bulk. Energies are from PBE.

Geometry as extended XYZ:
```
16
Lattice="-4.333 4.418 6.180 4.333 -4.418 6.180 4.333 4.418 -6.180" Properties=species:S:1:pos:R:3 pbc="T T T"
Na -2.166 2.209 3.090
Na 2.166 2.209 3.090
Li 0.000 0.000 0.000
Li 0.000 4.418 0.000
Sn 2.166 2.209 -3.090
Sn 2.166 -2.209 3.090
Sn 4.333 0.000 0.000
Sn 0.000 0.000 6.180
Te 4.333 4.347 -3.153
Te 2.094 2.209 -0.053
Te 2.239 -2.209 6.127
Te 4.333 -0.071 3.153
Te 0.000 4.489 3.028
Te 2.094 6.627 0.053
Te 2.239 2.209 6.233
Te 0.000 0.071 9.333
```

Total magnetization   0.00 μB per formula unit
Formation energy from raw total energies   -0.48 eV/atom



Q: Which formula does entry 3 have?
A: LiNi2Rh



Q: total magnetization of number 12 (NaLiSn2Te4)?
A: 0.00 μB per formula unit



Q: What is the formula in the fourth record?
A: PrDy2Ni